(1)
# GGA-PBE In3Hg2Pb, optimized geometry
data_In3Hg2Pb
_cell_length_a 8.549
_cell_length_b 8.549
_cell_length_c 3.671
_cell_angle_alpha 90.00
_cell_angle_beta 90.00
_cell_angle_gamma 142.17
_symmetry_space_group_name_H-M 'P 1'
_symmetry_Int_Tables_number 1
loop_
_symmetry_equiv_pos_as_xyz
'x,y,z'
loop_
_atom_site_label
_atom_site_type_symbol
_atom_site_fract_x
_atom_site_fract_y
_atom_site_fract_z
In1 In 0.000 0.000 0.000
In2 In 0.323 0.677 0.000
In3 In 0.677 0.323 0.000
Hg1 Hg 0.160 0.840 0.500
Hg2 Hg 0.840 0.160 0.500
Pb1 Pb 0.500 0.500 0.500
# **Spin magnetization**: 0.000 μB per formula unit
# **Excess energy over the best structure of this formula in the dataset**: 7.1 meV per atom
# **Energy of formation from the pure elements**: 0.1 eV/f.u.
# **Space group**: Cmmm

***

(2)
# GGA-PBE LaEr2InN, optimized geometry
data_LaEr2InN
_cell_length_a 4.826
_cell_length_b 4.826
_cell_length_c 5.068
_cell_angle_alpha 90.00
_cell_angle_beta 90.00
_cell_angle_gamma 90.00
_symmetry_space_group_name_H-M 'P 1'
_symmetry_Int_Tables_number 1
loop_
_symmetry_equiv_pos_as_xyz
'x,y,z'
loop_
_atom_site_label
_atom_site_type_symbol
_atom_site_fract_x
_atom_site_fract_y
_atom_site_fract_z
La1 La 0.000 0.000 0.000
Er1 Er 0.000 0.500 0.500
Er2 Er 0.500 0.000 0.500
In1 In 0.500 0.500 0.000
N1 N 0.000 0.000 0.500
# **Raw formation energy**: -921 meV/atom
# **Spin magnetization**: 0.000 μB per formula unit
# **Space group**: P4/mmm

***

(3)
# GGA-PBE La2Zn3Cu12Ir, optimized geometry
data_La2Zn3Cu12Ir
_cell_length_a 9.875
_cell_length_b 9.875
_cell_length_c 9.875
_cell_angle_alpha 36.24
_cell_angle_beta 36.24
_cell_angle_gamma 36.24
_symmetry_space_group_name_H-M 'P 1'
_symmetry_Int_Tables_number 1
loop_
_symmetry_equiv_pos_as_xyz
'x,y,z'
loop_
_atom_site_label
_atom_site_type_symbol
_atom_site_fract_x
_atom_site_fract_y
_atom_site_fract_z
La1 La 0.151 0.151 0.151
La2 La 0.849 0.849 0.849
Zn1 Zn 0.000 0.500 0.500
Zn2 Zn 0.500 0.000 0.500
Zn3 Zn 0.500 0.500 0.000
Cu1 Cu 0.081 0.081 0.691
Cu2 Cu 0.081 0.691 0.081
Cu3 Cu 0.146 0.567 0.567
Cu4 Cu 0.309 0.919 0.919
Cu5 Cu 0.433 0.433 0.854
Cu6 Cu 0.433 0.854 0.433
Cu7 Cu 0.567 0.146 0.567
Cu8 Cu 0.567 0.567 0.146
Cu9 Cu 0.691 0.081 0.081
Cu10 Cu 0.854 0.433 0.433
Cu11 Cu 0.919 0.309 0.919
Cu12 Cu 0.919 0.919 0.309
Ir1 Ir 0.500 0.500 0.500
# **Spin magnetization**: 0.000 μB per formula unit
# **Energy of formation from the pure elements**: 1.7 eV/f.u.
# **Space group**: R-3m

***

(4)
# GGA-PBE BeSbSN2, optimized geometry
data_BeSbSN2
_cell_length_a 3.645
_cell_length_b 3.645
_cell_length_c 4.844
_cell_angle_alpha 90.00
_cell_angle_beta 90.00
_cell_angle_gamma 90.00
_symmetry_space_group_name_H-M 'P 1'
_symmetry_Int_Tables_number 1
loop_
_symmetry_equiv_pos_as_xyz
'x,y,z'
loop_
_atom_site_label
_atom_site_type_symbol
_atom_site_fract_x
_atom_site_fract_y
_atom_site_fract_z
Be1 Be 0.000 0.000 0.000
Sb1 Sb 0.500 0.500 0.500
S1 S 0.000 0.000 0.500
N1 N 0.000 0.500 0.000
N2 N 0.500 0.000 0.000
# **Raw formation energy**: 1054 meV/atom
# **Spin magnetization**: 0.419 μB per formula unit
# **Excess energy over the best structure of this formula in the dataset**: 0.0 meV per atom
# **Space group**: P4/mmm

***

(5)
# GGA-PBE TmPaMn, optimized geometry
data_TmPaMn
_cell_length_a 6.578
_cell_length_b 6.170
_cell_length_c 6.877
_cell_angle_alpha 90.00
_cell_angle_beta 100.35
_cell_angle_gamma 90.00
_symmetry_space_group_name_H-M 'P 1'
_symmetry_Int_Tables_number 1
loop_
_symmetry_equiv_pos_as_xyz
'x,y,z'
loop_
_atom_site_label
_atom_site_type_symbol
_atom_site_fract_x
_atom_site_fract_y
_atom_site_fract_z
Tm1 Tm 0.144 0.168 0.350
Tm2 Tm 0.144 0.332 0.850
Tm3 Tm 0.856 0.668 0.150
Tm4 Tm 0.856 0.832 0.650
Pa1 Pa 0.326 0.681 0.507
Pa2 Pa 0.326 0.819 0.007
Pa3 Pa 0.674 0.181 0.993
Pa4 Pa 0.674 0.319 0.493
Mn1 Mn 0.474 0.044 0.727
Mn2 Mn 0.474 0.456 0.227
Mn3 Mn 0.526 0.544 0.773
Mn4 Mn 0.526 0.956 0.273
# **Spin magnetization**: 0.000 μB per formula unit
# **Excess energy over the best structure of this formula in the dataset**: 36.5 meV per atom
# **Energy of formation from the pure elements**: 0.0 eV/f.u.
# **Space group**: P2_1/c

***

(6)
# GGA-PBE AcCe2Tm, optimized geometry
data_AcCe2Tm
_cell_length_a 5.810
_cell_length_b 5.810
_cell_length_c 5.810
_cell_angle_alpha 60.00
_cell_angle_beta 60.00
_cell_angle_gamma 60.00
_symmetry_space_group_name_H-M 'P 1'
_symmetry_Int_Tables_number 1
loop_
_symmetry_equiv_pos_as_xyz
'x,y,z'
loop_
_atom_site_label
_atom_site_type_symbol
_atom_site_fract_x
_atom_site_fract_y
_atom_site_fract_z
Ac1 Ac 0.000 0.000 0.000
Ce1 Ce 0.250 0.250 0.250
Ce2 Ce 0.750 0.750 0.750
Tm1 Tm 0.500 0.500 0.500
# **Spin magnetization**: 4.262 μB per formula unit
# **Excess energy over the best structure of this formula in the dataset**: 157.6 meV per atom
# **Energy of formation from the pure elements**: 1.2 eV/f.u.
# **Space group**: Fm-3m

***

(7)
# GGA-PBE NaTcWAu2, optimized geometry
data_NaTcWAu2
_cell_length_a 4.988
_cell_length_b 4.988
_cell_length_c 4.733
_cell_angle_alpha 90.00
_cell_angle_beta 90.00
_cell_angle_gamma 90.00
_symmetry_space_group_name_H-M 'P 1'
_symmetry_Int_Tables_number 1
loop_
_symmetry_equiv_pos_as_xyz
'x,y,z'
loop_
_atom_site_label
_atom_site_type_symbol
_atom_site_fract_x
_atom_site_fract_y
_atom_site_fract_z
Na1 Na 0.000 0.000 0.000
Tc1 Tc 0.000 0.000 0.500
W1 W 0.500 0.500 0.000
Au1 Au 0.000 0.500 0.500
Au2 Au 0.500 0.000 0.500
# **Spin magnetization**: 1.839 μB per formula unit
# **Excess energy over the best structure of this formula in the dataset**: 312.3 meV per atom
# **Energy of formation from the pure elements**: 11.3 eV/f.u.
# **Space group**: P4/mmm

***

(8)
# GGA-PBE PaGaRh, optimized geometry
data_PaGaRh
_cell_length_a 4.530
_cell_length_b 4.530
_cell_length_c 4.530
_cell_angle_alpha 60.00
_cell_angle_beta 60.00
_cell_angle_gamma 60.00
_symmetry_space_group_name_H-M 'P 1'
_symmetry_Int_Tables_number 1
loop_
_symmetry_equiv_pos_as_xyz
'x,y,z'
loop_
_atom_site_label
_atom_site_type_symbol
_atom_site_fract_x
_atom_site_fract_y
_atom_site_fract_z
Pa1 Pa 0.000 0.000 0.000
Ga1 Ga 0.500 0.500 0.500
Rh1 Rh 0.750 0.750 0.750
# **Spin magnetization**: 0.000 μB per formula unit
# **Energy of formation from the pure elements**: -1.6 eV/f.u.
# **Space group**: F-43m

***

Number 1: DOS(E_F) 2.05 states/eV per cell. Number 2: DOS(E_F) 2.52 states/eV per cell. Number 3: DOS(E_F) 6.81 states/eV per cell. Number 4: DOS(E_F) 2.37 states/eV per cell. Number 5: DOS(E_F) 11.37 states/eV per cell. Number 6: DOS(E_F) 14.59 states/eV per cell. Number 7: DOS(E_F) 7.36 states/eV per cell. Number 8: DOS(E_F) 5.76 states/eV per cell.